Entry 1:
# BaCuPt2 | Alexandria | GGA-PBE | optimized geometry
# ΔE to the lowest computed polymorph: 544 meV per atom
# Energy of formation from the pure elements: 0.05 eV/atom
data_BaCuPt2
_symmetry_space_group_name_H-M 'I 4/m m m'
_symmetry_Int_Tables_number 139
_symmetry_space_group_name_Hall '-I 4 2'
_cell_length_a 4.315
_cell_length_b 4.315
_cell_length_c 8.877
_cell_angle_alpha 90.00
_cell_angle_beta 90.00
_cell_angle_gamma 90.00
loop_
_atom_site_label
_atom_site_type_symbol
_atom_site_fract_x
_atom_site_fract_y
_atom_site_fract_z
Ba1 Ba 0.000 0.000 0.000
Cu1 Cu 0.000 0.000 0.500
Pt1 Pt 0.000 0.500 0.250



Entry 2:
# HoRu2C | Alexandria | GGA-PBE | optimized geometry
# ΔE to the lowest computed polymorph: 337 meV per atom
# Energy of formation from the pure elements: 0.26 eV/atom
data_HoRu2C
_symmetry_space_group_name_H-M 'R -3 m'
_symmetry_Int_Tables_number 166
_symmetry_space_group_name_Hall '-R 3 2"'
_cell_length_a 3.2426
_cell_length_b 3.2426
_cell_length_c 20.3122
_cell_angle_alpha 90.00
_cell_angle_beta 90.00
_cell_angle_gamma 120.00
loop_
_atom_site_label
_atom_site_type_symbol
_atom_site_fract_x
_atom_site_fract_y
_atom_site_fract_z
Ho1 Ho 0.0000 0.0000 0.0000
Ru1 Ru 0.0000 0.0000 0.2162
C1 C 0.0000 0.0000 0.5000



Entry 3:
# CdCuRe2 | Alexandria | GGA-PBE | optimized geometry
# Energy of formation from the pure elements: 0.58 eV/atom
data_CdCuRe2
_symmetry_space_group_name_H-M 'C m m m'
_symmetry_Int_Tables_number 65
_symmetry_space_group_name_Hall '-C 2 2'
_cell_length_a 3.117
_cell_length_b 4.347
_cell_length_c 9.189
_cell_angle_alpha 90.00
_cell_angle_beta 90.00
_cell_angle_gamma 90.00
loop_
_atom_site_label
_atom_site_type_symbol
_atom_site_fract_x
_atom_site_fract_y
_atom_site_fract_z
Cd1 Cd 0.000 0.000 0.000
Cu1 Cu 0.000 0.000 0.500
Re1 Re 0.000 0.500 0.270



Entry 4:
# LaFeOs2 | Alexandria | GGA-PBE | optimized geometry
# ΔE to the lowest computed polymorph: 0 meV per atom
# Energy of formation from the pure elements: 0.07 eV/atom
data_LaFeOs2
_symmetry_space_group_name_H-M 'R 3 m'
_symmetry_Int_Tables_number 160
_symmetry_space_group_name_Hall 'R 3 -2"'
_cell_length_a 4.3253
_cell_length_b 4.3253
_cell_length_c 15.6302
_cell_angle_alpha 90.00
_cell_angle_beta 90.00
_cell_angle_gamma 120.00
loop_
_atom_site_label
_atom_site_type_symbol
_atom_site_fract_x
_atom_site_fract_y
_atom_site_fract_z
La1 La 0.0000 0.0000 0.0000
Fe1 Fe 0.0000 0.0000 0.1941
Os1 Os 0.0000 0.0000 0.4951
Os2 Os 0.0000 0.0000 0.8124



Entry 5:
# MnV2HRh | Alexandria | GGA-PBE | optimized geometry
# ΔE to the lowest computed polymorph: 57 meV per atom
data_MnV2HRh
_symmetry_space_group_name_H-M 'P 4/m m m'
_symmetry_Int_Tables_number 123
_symmetry_space_group_name_Hall '-P 4 2'
_cell_length_a 3.800
_cell_length_b 3.800
_cell_length_c 3.852
_cell_angle_alpha 90.00
_cell_angle_beta 90.00
_cell_angle_gamma 90.00
loop_
_atom_site_label
_atom_site_type_symbol
_atom_site_fract_x
_atom_site_fract_y
_atom_site_fract_z
Mn1 Mn 0.000 0.000 0.000
V1 V 0.000 0.500 0.500
H1 H 0.500 0.500 0.500
Rh1 Rh 0.500 0.500 0.000



Entry 6:
# YTe3F | Alexandria | GGA-PBE | optimized geometry
# ΔE to the lowest computed polymorph: 0 meV per atom
# E_form (uncorrected): -270 kJ/mol of formula units
data_YTe3F
_symmetry_space_group_name_H-M 'P m -3 m'
_symmetry_Int_Tables_number 221
_symmetry_space_group_name_Hall '-P 4 2 3'
_cell_length_a 5.018
_cell_length_b 5.018
_cell_length_c 5.018
_cell_angle_alpha 90.00
_cell_angle_beta 90.00
_cell_angle_gamma 90.00
loop_
_atom_site_label
_atom_site_type_symbol
_atom_site_fract_x
_atom_site_fract_y
_atom_site_fract_z
Y1 Y 0.000 0.000 0.000
Te1 Te 0.000 0.500 0.500
F1 F 0.500 0.500 0.500



What did the fifth record say?
# MnV2HRh | Alexandria | GGA-PBE | optimized geometry
# ΔE to the lowest computed polymorph: 57 meV per atom
data_MnV2HRh
_symmetry_space_group_name_H-M 'P 4/m m m'
_symmetry_Int_Tables_number 123
_symmetry_space_group_name_Hall '-P 4 2'
_cell_length_a 3.800
_cell_length_b 3.800
_cell_length_c 3.852
_cell_angle_alpha 90.00
_cell_angle_beta 90.00
_cell_angle_gamma 90.00
loop_
_atom_site_label
_atom_site_type_symbol
_atom_site_fract_x
_atom_site_fract_y
_atom_site_fract_z
Mn1 Mn 0.000 0.000 0.000
V1 V 0.000 0.500 0.500
H1 H 0.500 0.500 0.500
Rh1 Rh 0.500 0.500 0.000



Q: Number 4 is which compound?
A: LaFeOs2